[1]
Here is a relaxed Os5Pt crystal from Alexandria. Energies are from PBE.

Computed properties:
- DOS(E_F): 0.733 states/eV/atom
- Space-group type: Cm
- Formation energy: 0.08 eV per atom

The structure in POSCAR format:
```
Os5Pt
1.0
4.999 -1.382 0.000
4.999 1.382 0.000
-1.554 0.000 6.292
Os Pt
5 1
Cartesian
0.000 0.000 0.000
-0.414 0.000 3.897
2.257 0.000 4.224
6.065 0.000 2.135
5.702 0.000 5.919
3.409 0.000 1.760
```

[2]
Here is a relaxed Os2Pt crystal from Alexandria. Energies are from PBE.

Computed properties:
- DOS(E_F): 1.371 states/eV/atom
- Space-group type: P6_3/mmc
- Formation energy: 0.51 eV per atom

The structure in POSCAR format:
```
Os2Pt
1.0
4.385 0.000 0.000
-2.193 3.798 0.000
0.000 0.000 5.415
Os Pt
4 2
Cartesian
0.000 0.000 0.000
0.000 0.000 2.708
0.000 2.532 1.354
2.193 1.266 4.062
0.000 2.532 4.062
2.193 1.266 1.354
```

[3]
Here is a relaxed Os2Pt crystal from Alexandria. Energies are from PBE.

Computed properties:
- DOS(E_F): 0.976 states/eV/atom
- Space-group type: P-3m1
- Formation energy: 0.95 eV per atom

The structure in POSCAR format:
```
Os2Pt
1.0
3.594 0.000 0.000
-1.797 3.113 0.000
0.000 0.000 4.752
Os Pt
2 1
Cartesian
0.000 2.075 1.778
1.797 1.038 2.974
0.000 0.000 0.000
```

[4]
Here is a relaxed OsPt crystal from Alexandria. Energies are from PBE.

Computed properties:
- DOS(E_F): 1.027 states/eV/atom
- Space-group type: C2/m
- Formation energy: 0.13 eV per atom

The structure in POSCAR format:
```
OsPt
1.0
4.605 -1.369 0.000
4.605 1.369 0.000
-0.792 0.000 4.738
Os Pt
2 2
Cartesian
0.889 0.000 1.852
7.530 0.000 2.887
3.383 0.000 0.600
5.036 0.000 4.138
```

[5]
Here is a relaxed Os2Pt crystal from Alexandria. Energies are from PBE.

Computed properties:
- DOS(E_F): 1.282 states/eV/atom
- Space-group type: P6_3/mmc
- Formation energy: 0.63 eV per atom

The structure in POSCAR format:
```
Os2Pt
1.0
5.087 0.000 0.000
-2.544 4.406 0.000
0.000 0.000 8.494
Os Pt
8 4
Cartesian
0.000 0.000 0.000
0.000 0.000 4.247
0.000 1.518 2.123
-1.229 3.646 2.123
1.315 0.759 6.370
1.229 3.646 2.123
3.772 0.759 6.370
2.544 2.887 6.370
0.000 2.937 4.960
0.000 2.937 7.780
2.544 1.469 0.713
2.544 1.469 3.533
```

[6]
Here is a relaxed OsPt crystal from Alexandria. Energies are from PBE.

Computed properties:
- DOS(E_F): 0.944 states/eV/atom
- Space-group type: I4_1/amd
- Formation energy: 0.14 eV per atom

The structure in POSCAR format:
```
OsPt
1.0
-1.947 1.947 3.923
1.947 -1.947 3.923
1.947 1.947 -3.923
Os Pt
2 2
Cartesian
1.947 0.973 0.981
0.000 0.973 2.943
1.947 -0.973 2.943
0.000 2.920 0.981
```